# LiMo2Br, PBEsol geometry, DFT SCAN
data_LiMo2Br
_cell_length_a 3.549
_cell_length_b 3.549
_cell_length_c 5.452
_cell_angle_alpha 90.00
_cell_angle_beta 90.00
_cell_angle_gamma 90.00
_space_group_name_H-M_alt 'P 4/m m m'
_space_group_IT_number 123
_space_group_name_Hall '-P 4 2'
loop_
_atom_site_label
_atom_site_fract_x
_atom_site_fract_y
_atom_site_fract_z
_atom_site_occupancy
Li1 0.000 0.000 0.000 1
Mo1 0.000 0.500 0.500 1
Br1 0.500 0.500 0.000 1
# Formation energy (no corrections) in meV/atom: 629.5
# ΔE to the lowest computed polymorph in kJ per mole of atoms: 40.2

# Y3ScO, PBEsol geometry, DFT SCAN
data_Y3ScO
_cell_length_a 4.797
_cell_length_b 4.797
_cell_length_c 4.797
_cell_angle_alpha 90.00
_cell_angle_beta 90.00
_cell_angle_gamma 90.00
_space_group_name_H-M_alt 'P m -3 m'
_space_group_IT_number 221
_space_group_name_Hall '-P 4 2 3'
loop_
_atom_site_label
_atom_site_fract_x
_atom_site_fract_y
_atom_site_fract_z
_atom_site_occupancy
Y1 0.000 0.000 0.500 1
Sc1 0.500 0.500 0.500 1
O1 0.000 0.000 0.000 1
# Formation energy (no corrections) in meV/atom: -1221.6

Computed DFT total energy (eV per atom) in order:
-22.28; -22.02